No. 1
# MnCu2As, relaxed, DFT PBEsol
data_MnCu2As
_chemical_formula_sum 'Mn1 Cu2 As1'
_cell_length_a 2.7307
_cell_length_b 3.6803
_cell_length_c 5.2946
_cell_angle_alpha 90.00
_cell_angle_beta 104.62
_cell_angle_gamma 90.00
_space_group_name_H-M_alt 'P 1 m 1'
_space_group_IT_number 6
loop_
_space_group_symop_operation_xyz
'x,y,z'
'x,-y,z'
loop_
_atom_site_label
_atom_site_type_symbol
_atom_site_fract_x
_atom_site_fract_y
_atom_site_fract_z
_atom_site_occupancy
Mn1 Mn 0.0000 0.0000 0.0000 1
Cu1 Cu 0.3563 0.5000 0.7117 1
Cu2 Cu 0.7545 0.0000 0.5072 1
As1 As 0.5963 0.5000 0.1973 1
# calculated density: 8.29 g/cm³
# magnetic moment: 2.928 μB per formula unit
# E_form: 0.10 eV per atom
# V: 12.9 A^3/atom

---

No. 2
# Si2SbF, relaxed, DFT PBEsol
data_Si2SbF
_chemical_formula_sum 'Si8 Sb4 F4'
_cell_length_a 4.3840
_cell_length_b 4.3840
_cell_length_c 15.2912
_cell_angle_alpha 90.00
_cell_angle_beta 90.00
_cell_angle_gamma 90.00
_space_group_name_H-M_alt 'I -4 2 d'
_space_group_IT_number 122
_space_group_name_Hall 'I -4 2bw'
loop_
_atom_site_label
_atom_site_type_symbol
_atom_site_fract_x
_atom_site_fract_y
_atom_site_fract_z
_atom_site_occupancy
Si1 Si 0.1407 0.2500 0.1250 1
Sb1 Sb 0.0000 0.0000 0.5000 1
F1 F 0.0000 0.0000 0.0000 1
# ΔE_f (raw): -0.236 eV per atom
# calculated density: 4.45 g/cm³
# magnetic moment: 0.000 μB per formula unit
# V: 18.4 A^3/atom

---

No. 3
# LiMoAs, relaxed, DFT PBEsol
data_LiMoAs
_chemical_formula_sum 'Li4 Mo4 As4'
_cell_length_a 3.3082
_cell_length_b 4.5179
_cell_length_c 12.8080
_cell_angle_alpha 90.00
_cell_angle_beta 90.00
_cell_angle_gamma 90.00
_space_group_name_H-M_alt 'F m m 2'
_space_group_IT_number 42
_space_group_name_Hall 'F 2 -2'
loop_
_atom_site_label
_atom_site_type_symbol
_atom_site_fract_x
_atom_site_fract_y
_atom_site_fract_z
_atom_site_occupancy
Li1 Li 0.0000 0.0000 0.0000 1
Mo1 Mo 0.0000 0.0000 0.6772 1
As1 As 0.0000 0.0000 0.3248 1
# calculated density: 6.17 g/cm³
# magnetic moment: 0.000 μB per formula unit
# E_form: 0.11 eV per atom
# V: 16.0 A^3/atom

---

No. 4
# Ca2AsBr, relaxed, DFT PBEsol
data_Ca2AsBr
_chemical_formula_sum 'Ca4 As2 Br2'
_cell_length_a 5.1611
_cell_length_b 5.1960
_cell_length_c 7.5732
_cell_angle_alpha 90.00
_cell_angle_beta 90.00
_cell_angle_gamma 90.00
_space_group_name_H-M_alt 'C m m m'
_space_group_IT_number 65
_space_group_name_Hall '-C 2 2'
loop_
_atom_site_label
_atom_site_type_symbol
_atom_site_fract_x
_atom_site_fract_y
_atom_site_fract_z
_atom_site_occupancy
Ca1 Ca 0.0000 0.0000 0.2054 1
As1 As 0.0000 0.5000 0.0000 1
Br1 Br 0.0000 0.5000 0.5000 1
# ΔE_f (raw): -1.283 eV per atom
# calculated density: 3.84 g/cm³
# magnetic moment: 0.000 μB per formula unit
# V: 25.4 A^3/atom

---

The highest calculated density belongs to which entry? MnCu2As